# 1
GGA-PBE CsH8IrPt2, relaxed; density = 7.965 g cm⁻³; uncorrected energy = -48.78 eV per cell; D(E_F) = 3.8 states/eV/f.u.
1.0
2.434 1.405 7.350
-2.434 1.405 7.350
0.000 -2.810 7.350
Cs H Ir Pt
1 8 1 2
direct
0.000 0.000 0.000
0.162 0.736 0.455
0.264 0.545 0.838
0.276 0.276 0.276
0.455 0.162 0.736
0.545 0.838 0.264
0.724 0.724 0.724
0.736 0.455 0.162
0.838 0.264 0.545
0.500 0.500 0.500
0.205 0.205 0.205
0.795 0.795 0.795

# 2
GGA-PBE Cs2RbHIr, relaxed; density = 3.286 g cm⁻³; uncorrected energy = -9.46 eV per cell; D(E_F) = 6.3 states/eV/f.u.
1.0
7.256 0.000 0.000
0.000 7.256 0.000
0.000 0.000 5.225
Cs Rb H Ir
2 1 1 1
direct
0.000 0.500 0.000
0.500 0.000 0.000
0.000 0.000 0.000
0.500 0.500 0.500
0.000 0.000 0.500

# 3
GGA-PBE Cs2RbH6Ir, relaxed; density = 5.098 g cm⁻³; uncorrected energy = -35.12 eV per cell; D(E_F) = 0.0 states/eV/f.u.
1.0
0.000 4.473 4.473
4.473 0.000 4.473
4.473 4.473 0.000
Cs Rb H Ir
2 1 6 1
direct
0.250 0.250 0.250
0.750 0.750 0.750
0.000 0.000 0.000
0.310 0.310 0.690
0.310 0.690 0.310
0.310 0.690 0.690
0.690 0.310 0.310
0.690 0.310 0.690
0.690 0.690 0.310
0.500 0.500 0.500

# 4
GGA-PBE Cs2HIrRh, relaxed; density = 6.702 g cm⁻³; uncorrected energy = -16.27 eV per cell; D(E_F) = 8.2 states/eV/f.u.
1.0
6.386 0.000 0.000
0.000 6.386 0.000
0.000 0.000 3.414
Cs H Ir Rh
2 1 1 1
direct
0.000 0.500 0.000
0.500 0.000 0.000
0.000 0.000 0.000
0.500 0.500 0.500
0.000 0.000 0.500